VASP calculation (PBE-GGA) on an optimized crystal structure of YAlZnCu.

N(E_F) ... 0.41 states/eV per atom
Energy of formation from the pure elements ... -0.3455 eV per atom
VASP energy ... -16.96 eV for the cell shown

Cell: 4.6340 4.6340 4.6340 Å, 60.00 60.00 60.00°
Closest atoms and distances in Å follow each position.
Positions (direct):
1 Cu 0.0000 0.0000 0.0000  4 Al 2.84, 4 Y 2.84
2 Y 0.7500 0.7500 0.7500  4 Cu 2.84, 4 Zn 2.84
3 Zn 0.5000 0.5000 0.5000  4 Al 2.84, 4 Y 2.84
4 Al 0.2500 0.2500 0.2500  4 Cu 2.84, 4 Zn 2.84

---

VASP calculation (PBE-GGA) on an optimized crystal structure of Ac3La2Tl3.

N(E_F) ... 1.18 states/eV per atom
Energy of formation from the pure elements ... -0.2609 eV per atom
VASP energy ... -31.37 eV for the cell shown

Cell: 4.5900 5.4597 11.9255 Å, 103.23 101.10 90.00°
Closest atoms and distances in Å follow each position.
Positions (direct):
1 Tl 0.8712 0.8712 0.7424  2 La 3.33, 6 Ac 3.57-3.72
2 La 0.2651 0.7651 0.5302  2 Tl 3.33, 4 La 3.63
3 La 0.7349 0.2349 0.4698  2 Tl 3.33, 4 La 3.63
4 Ac 0.6210 0.6210 0.2419  6 Tl 3.57-3.58, 2 La 3.77, 2 Ac 3.88
5 Ac 0.3790 0.3790 0.7581  6 Tl 3.57-3.58, 2 La 3.77, 2 Ac 3.88
6 Tl 0.0000 0.5000 0.0000  8 Ac 3.57-3.58
7 Ac 0.5000 0.0000 0.0000  8 Tl 3.57-3.72, 4 Ac 3.88
8 Tl 0.1288 0.1288 0.2576  2 La 3.33, 6 Ac 3.57-3.72

---

VASP calculation (PBE-GGA) on an optimized crystal structure of CuRuRh2.

N(E_F) ... 1.76 states/eV per atom
Energy of formation from the pure elements ... 0.1502 eV per atom
VASP energy ... -27.47 eV for the cell shown

Cell: 4.6389 6.0495 2.7013 Å, 63.51 89.98 121.48°
Closest atoms and distances in Å follow each position.
Positions (direct):
1 Ru 0.5000 0.5000 0.0000  8 Rh 2.68, 2 Ru 2.70, 2 Cu 2.71
2 Rh 0.0000 0.0000 0.0000  4 Cu 2.68, 4 Ru 2.68, 4 Rh 2.70-2.71
3 Cu 0.5000 0.0000 0.5000  8 Rh 2.68, 2 Cu 2.70, 2 Ru 2.71
4 Rh 0.0000 0.5000 0.5000  4 Ru 2.68, 4 Cu 2.68, 4 Rh 2.70-2.71

---

VASP calculation (PBE-GGA) on an optimized crystal structure of TiPO4.

Raw formation energy ... -2.49 eV/atom
N(E_F) ... 0.24 states/eV per atom
VASP energy ... -96.13 eV for the cell shown

Cell: 4.8139 4.8139 6.5840 Å, 90.00 90.00 113.38°
Closest atoms and distances in Å follow each position.
Positions (direct):
1 Ti 0.0000 0.0000 0.5000  6 O 1.95-2.16
2 O 0.2381 0.7619 0.9421  1 P 1.53
3 O 0.2126 0.2989 0.7500  1 P 1.57
4 O 0.2989 0.2126 0.2500  1 P 1.57
5 O 0.7011 0.7874 0.7500  1 P 1.57
6 O 0.2381 0.7619 0.5579  1 P 1.53
7 P 0.6541 0.3459 0.2500  4 O 1.53-1.57
8 P 0.3459 0.6541 0.7500  4 O 1.53-1.57
9 O 0.7874 0.7011 0.2500  1 P 1.57
10 O 0.7619 0.2381 0.0579  1 P 1.53
11 Ti 0.0000 0.0000 0.0000  6 O 1.95-2.16
12 O 0.7619 0.2381 0.4421  1 P 1.53

---

VASP calculation (PBE-GGA) on an optimized crystal structure of AlCoSb2Ir.

Raw formation energy ... 0.77 eV/atom
N(E_F) ... 1.61 states/eV per atom
VASP energy ... -24.11 eV for the cell shown

Cell: 5.1943 4.6401 5.1943 Å, 90.00 90.00 90.00°
Closest atoms and distances in Å follow each position.
Positions (direct):
1 Co 0.5000 0.5000 0.5000  8 Sb 3.48, 4 Al 3.67
2 Sb 0.0000 0.0000 0.5000  2 Ir 2.60
3 Al 0.0000 0.5000 0.0000  2 Ir 2.32
4 Ir 0.0000 0.0000 0.0000  2 Al 2.32, 4 Sb 2.60
5 Sb 0.5000 0.0000 0.0000  2 Ir 2.60

---

VASP calculation (PBE-GGA) on an optimized crystal structure of MgFeMo2.

N(E_F) ... 0.92 states/eV per atom
Energy of formation from the pure elements ... 0.3294 eV per atom
VASP energy ... -30.40 eV for the cell shown

Cell: 3.3672 4.0901 4.4360 Å, 90.00 90.00 90.00°
Closest atoms and distances in Å follow each position.
Positions (direct):
1 Mo 0.5000 0.5000 0.0000  4 Mo 2.65, 4 Mg 2.78
2 Fe 0.5000 0.0000 0.5000  4 Mg 2.65, 4 Mo 2.78
3 Mo 0.0000 0.0000 0.0000  4 Mo 2.65, 4 Fe 2.78
4 Mg 0.0000 0.5000 0.5000  4 Fe 2.65, 4 Mo 2.78

---

VASP calculation (PBE-GGA) on an optimized crystal structure of Sr2CdTe.

Raw formation energy ... -0.89 eV/atom
N(E_F) ... 0.50 states/eV per atom
VASP energy ... -10.99 eV for the cell shown

Cell: 4.1816 4.1391 8.8385 Å, 62.12 90.00 90.00°
Closest atoms and distances in Å follow each position.
Positions (direct):
1 Sr 0.0000 0.5021 0.4975  4 Te 3.52, 4 Cd 3.54, 1 Sr 3.87
2 Cd 0.5000 0.7500 0.7500  8 Sr 3.54, 2 Te 3.91
3 Te 0.5000 0.2500 0.2500  8 Sr 3.52, 2 Cd 3.91
4 Sr 0.0000 0.9979 0.0025  4 Te 3.52, 4 Cd 3.54, 1 Sr 3.87

---

VASP calculation (PBE-GGA) on an optimized crystal structure of Rb3SnSe.

Raw formation energy ... -0.36 eV/atom
N(E_F) ... 0.00 states/eV per atom
VASP energy ... -12.21 eV for the cell shown

Cell: 6.6062 6.6062 6.6062 Å, 90.00 90.00 90.00°
Closest atoms and distances in Å follow each position.
Positions (direct):
1 Sn 0.5000 0.5000 0.5000  12 Rb 4.67
2 Rb 0.0000 0.5000 0.0000  2 Se 3.30
3 Se 0.0000 0.0000 0.0000  6 Rb 3.30
4 Rb 0.5000 0.0000 0.0000  2 Se 3.30
5 Rb 0.0000 0.0000 0.5000  2 Se 3.30

---

VASP calculation (PBE-GGA) on an optimized crystal structure of PuZrBe2.

N(E_F) ... 1.27 states/eV per atom
Energy of formation from the pure elements ... 0.1259 eV per atom
VASP energy ... -29.83 eV for the cell shown

Cell: 3.1898 3.1898 6.7174 Å, 90.00 90.00 90.00°
Closest atoms and distances in Å follow each position.
Positions (direct):
1 Zr 0.5000 0.5000 0.0000  8 Be 2.70
2 Pu 0.5000 0.5000 0.5000  8 Be 2.94, 4 Pu 3.19
3 Be 0.0000 0.0000 0.7799  4 Zr 2.70, 4 Pu 2.94, 1 Be 2.96
4 Be 0.0000 0.0000 0.2201  4 Zr 2.70, 4 Pu 2.94, 1 Be 2.96